SmBe4IrRh2 | PBE | optimized geometry

Cell lengths 3.9047, 3.9047, 24.6809 Å; angles 90.00, 90.00, 120.00 degrees
Space group R-3m (No. 166, hexagonal axes)
Symmetry-distinct sites (fractional):
Sm  0.0000  0.0000  0.0000 (multiplicity 3)
Be  0.0000  0.0000  0.1337 (multiplicity 6)
Be  0.0000  0.0000  0.4113 (multiplicity 6)
Ir  0.0000  0.0000  0.5000 (multiplicity 3)
Rh  0.0000  0.0000  0.2402 (multiplicity 6)

Summary:
E_tot	-5.898	eV/atom
ΔE_f	-0.4996	eV/atom
crystal system	trigonal
Fermi-level density of states	13.1	states/eV per cell

=====

BeSnIrRh | PBE | optimized geometry

Cell lengths 6.136, 6.136, 6.136 Å; angles 90.00, 90.00, 90.00 degrees
Space group F-43m (No. 216)
Symmetry-distinct sites (fractional):
Be  0.000  0.000  0.000 (multiplicity 4)
Sn  0.000  0.000  0.500 (multiplicity 4)
Ir  0.250  0.250  0.250 (multiplicity 4)
Rh  0.250  0.250  0.750 (multiplicity 4)

Summary:
E_tot	-6.291	eV/atom
ΔE_f	-0.3059	eV/atom
crystal system	cubic
Fermi-level density of states	5.2	states/eV per cell

=====

BeSnIrRh2 | PBE | optimized geometry

Cell lengths 4.089, 4.089, 4.499 Å; angles 90.00, 90.00, 90.00 degrees
Space group P4/mmm (No. 123)
Symmetry-distinct sites (fractional):
Be  0.000  0.000  0.000 (multiplicity 1)
Sn  0.000  0.000  0.500 (multiplicity 1)
Ir  0.500  0.500  0.500 (multiplicity 1)
Rh  0.000  0.500  0.000 (multiplicity 2)

Summary:
E_tot	-5.940	eV/atom
ΔE_f	0.3184	eV/atom
crystal system	tetragonal
Fermi-level density of states	3.5	states/eV per cell

=====

Sr2BeIrRh | PBE | optimized geometry

Cell lengths 5.720, 5.720, 4.688 Å; angles 90.00, 90.00, 90.00 degrees
Space group P4/mmm (No. 123)
Symmetry-distinct sites (fractional):
Sr  0.000  0.500  0.000 (multiplicity 2)
Be  0.000  0.000  0.500 (multiplicity 1)
Ir  0.500  0.500  0.500 (multiplicity 1)
Rh  0.500  0.500  0.000 (multiplicity 1)

Summary:
E_tot	-4.027	eV/atom
ΔE_f	0.6332	eV/atom
crystal system	tetragonal
Fermi-level density of states	3.4	states/eV per cell